Material: Mg3Ti2O7
Method: DFT, meta-GGA SCAN
State: single point on PBEsol structure

Results
The density of states at the Fermi level is 0.0 states/eV/cell. As for the space group: No. 36. The calculation puts the uncorrected formation energy at -3.15 eV per atom. As for the magnetization: 0.000 μB/atom.

Lattice parameters (Å, degrees): 9.2320 9.2320 5.3184 90.00 90.00 32.27
Sites, in units of the cell vectors:
Mg (0.0619, 0.5497, 0.3803)
Mg (0.2427, 0.7573, 0.5000)
Mg (0.4503, 0.9381, 0.3803)
Mg (0.5497, 0.0619, 0.8803)
Mg (0.7573, 0.2427, 0.0000)
Mg (0.9381, 0.4503, 0.8803)
Ti (0.1520, 0.6365, 0.9396)
Ti (0.3635, 0.8480, 0.9396)
Ti (0.6365, 0.1520, 0.4396)
Ti (0.8480, 0.3635, 0.4396)
O (0.0693, 0.1938, 0.1492)
O (0.1362, 0.8638, 0.8923)
O (0.1653, 0.4223, 0.0059)
O (0.1938, 0.0693, 0.6492)
O (0.3433, 0.4977, 0.2779)
O (0.4223, 0.1653, 0.5059)
O (0.4977, 0.3433, 0.7779)
O (0.5023, 0.6567, 0.2779)
O (0.5777, 0.8347, 0.0059)
O (0.6567, 0.5023, 0.7779)
O (0.8062, 0.9307, 0.1492)
O (0.8347, 0.5777, 0.5059)
O (0.8638, 0.1362, 0.3923)
O (0.9307, 0.8062, 0.6492)